# K2MgVCl6, relaxed, DFT PBE
data_K2MgVCl6
_cell_length_a 6.976
_cell_length_b 7.046
_cell_length_c 12.147
_cell_angle_alpha 90.00
_cell_angle_beta 125.00
_cell_angle_gamma 90.00
_symmetry_space_group_name_H-M 'P 1 21/c 1'
_symmetry_Int_Tables_number 14
loop_
_symmetry_equiv_pos_as_xyz
'x,y,z'
'-x,-y,-z'
'-x,y+1/2,-z+1/2'
'x,-y+1/2,z+1/2'
loop_
_atom_site_label
_atom_site_type_symbol
_atom_site_fract_x
_atom_site_fract_y
_atom_site_fract_z
_atom_site_occupancy
K1 K 0.240 0.043 0.250 1
Mg1 Mg 0.500 0.000 0.000 1
V1 V 0.000 0.000 0.500 1
Cl1 Cl 0.179 0.213 0.970 1
Cl2 Cl 0.258 0.710 0.970 1
Cl3 Cl 0.308 0.005 0.749 1
# * E_form (uncorrected): -1.666 eV/atom